Below is a relaxed Y2P3PdRh12 crystal, with properties calculated at the GGA-PBE level.

a b c (Å): 6.680 6.680 6.680
angles (deg): 83.04 83.04 83.04
Sites, in units of the cell vectors:
Y1 0.124 0.124 0.124
Y2 0.876 0.876 0.876
P1 0.000 0.500 0.500
P2 0.500 0.000 0.500
P3 0.500 0.500 0.000
Pd1 0.500 0.500 0.500
Rh1 0.133 0.133 0.591
Rh2 0.133 0.591 0.133
Rh3 0.166 0.674 0.674
Rh4 0.326 0.326 0.834
Rh5 0.326 0.834 0.326
Rh6 0.409 0.867 0.867
Rh7 0.591 0.133 0.133
Rh8 0.674 0.166 0.674
Rh9 0.674 0.674 0.166
Rh10 0.834 0.326 0.326
Rh11 0.867 0.409 0.867
Rh12 0.867 0.867 0.409

Values from the calculation:
**Calculated density**: 9.167 g/cm³
**Energy relative to the elements**: -197 meV/atom
**N(E_F)**: 19.47 states/eV per cell
**Volume**: 292 Å³ per cell



Below is a relaxed P2PdRu2 crystal, with properties calculated at the GGA-PBE level.

a b c (Å): 6.865 6.865 2.840
angles (deg): 90.00 90.00 90.00
Sites, in units of the cell vectors:
P1 0.150 0.350 0.000
P2 0.350 0.850 0.000
P3 0.650 0.150 0.000
P4 0.850 0.650 0.000
Pd1 0.000 0.000 0.000
Pd2 0.500 0.500 0.000
Ru1 0.143 0.643 0.500
Ru2 0.357 0.143 0.500
Ru3 0.643 0.857 0.500
Ru4 0.857 0.357 0.500

Values from the calculation:
**E above lowest polymorph**: 0.000 eV/atom
**Calculated density**: 9.194 g/cm³
**Energy relative to the elements**: -335 meV/atom
**N(E_F)**: 4.57 states/eV per cell
**Volume**: 134 Å³ per cell



Below is a relaxed PPd2Ru crystal, with properties calculated at the GGA-PBE level.

a b c (Å): 9.628 9.628 9.628
angles (deg): 158.28 158.28 30.91
Sites, in units of the cell vectors:
P1 0.000 0.000 0.000
P2 0.750 0.250 0.500
Pd1 0.122 0.625 0.997
Pd2 0.375 0.372 0.497
Pd3 0.628 0.125 0.003
Pd4 0.875 0.878 0.503
Ru1 0.250 0.750 0.500
Ru2 0.500 0.500 0.000

Values from the calculation:
**Calculated density**: 9.377 g/cm³
**Energy relative to the elements**: 221 meV/atom
**N(E_F)**: 7.51 states/eV per cell
**Volume**: 122 Å³ per cell



Below is a relaxed PPd2Ru2 crystal, with properties calculated at the GGA-PBE level.

a b c (Å): 5.935 5.935 4.313
angles (deg): 90.00 90.00 90.00
Sites, in units of the cell vectors:
P1 0.000 0.000 0.000
P2 0.500 0.500 0.000
Pd1 0.165 0.335 0.500
Pd2 0.335 0.835 0.500
Pd3 0.665 0.165 0.500
Pd4 0.835 0.665 0.500
Ru1 0.146 0.646 0.000
Ru2 0.354 0.146 0.000
Ru3 0.646 0.854 0.000
Ru4 0.854 0.354 0.000

Values from the calculation:
**Calculated density**: 9.748 g/cm³
**Energy relative to the elements**: -13 meV/atom
**N(E_F)**: 11.76 states/eV per cell
**Volume**: 152 Å³ per cell



Below is a relaxed PPd3Ru crystal, with properties calculated at the GGA-PBE level.

a b c (Å): 4.456 4.456 4.456
angles (deg): 90.00 90.00 90.00
Sites, in units of the cell vectors:
P1 0.000 0.000 0.000
Pd1 0.000 0.000 0.500
Pd2 0.000 0.500 0.000
Pd3 0.500 0.000 0.000
Ru1 0.500 0.500 0.500

Values from the calculation:
**E above lowest polymorph**: 0.000 eV/atom
**Calculated density**: 8.470 g/cm³
**Energy relative to the elements**: 426 meV/atom
**N(E_F)**: 5.27 states/eV per cell
**Volume**: 88 Å³ per cell



Below is a relaxed PPdRu2 crystal, with properties calculated at the GGA-PBE level.

a b c (Å): 6.833 6.833 6.833
angles (deg): 135.36 135.36 64.97
Sites, in units of the cell vectors:
P1 0.000 0.000 0.000
P2 0.750 0.250 0.500
Pd1 0.250 0.750 0.500
Pd2 0.500 0.500 0.000
Ru1 0.079 0.625 0.954
Ru2 0.375 0.329 0.454
Ru3 0.671 0.125 0.046
Ru4 0.875 0.921 0.546

Values from the calculation:
**Calculated density**: 7.264 g/cm³
**Energy relative to the elements**: 585 meV/atom
**N(E_F)**: 9.02 states/eV per cell
**Volume**: 155 Å³ per cell



Below is a relaxed PPd3Ru crystal, with properties calculated at the GGA-PBE level.

a b c (Å): 4.752 4.752 4.752
angles (deg): 90.00 90.00 90.00
Sites, in units of the cell vectors:
P1 0.000 0.000 0.000
Pd1 0.000 0.500 0.500
Pd2 0.500 0.000 0.500
Pd3 0.500 0.500 0.000
Ru1 0.500 0.500 0.500

Values from the calculation:
**E above lowest polymorph**: 1.060 eV/atom
**Calculated density**: 6.984 g/cm³
**Energy relative to the elements**: 1487 meV/atom
**N(E_F)**: 8.44 states/eV per cell
**Volume**: 107 Å³ per cell



Below is a relaxed P2PdRu2 crystal, with properties calculated at the GGA-PBE level.

a b c (Å): 6.165 6.165 6.165
angles (deg): 145.83 145.83 49.10
Sites, in units of the cell vectors:
P1 0.250 0.750 0.500
P2 0.750 0.250 0.500
Pd1 0.000 0.000 0.000
Ru1 0.378 0.378 0.000
Ru2 0.622 0.622 0.000

Values from the calculation:
**E above lowest polymorph**: 0.142 eV/atom
**Calculated density**: 8.359 g/cm³
**Energy relative to the elements**: -193 meV/atom
**N(E_F)**: 4.13 states/eV per cell
**Volume**: 74 Å³ per cell



no.,total magnetization (μB per cell)
1,0.000
2,0.000
3,0.000
4,0.000
5,3.180
6,0.000
7,1.262
8,0.000